PRh2CO | PBE | optimized geometry

a b c (Å): 4.4769 3.3744 4.4769
angles (deg): 90.00 90.00 90.00
Closest atoms and distances in Å follow each position.
Positions (direct):
P  0.0000  0.0000  0.0000  2 C 1.69
C  0.0000  0.5000  0.0000  2 P 1.69
Rh  0.0000  0.0000  0.5000  2 P 2.24
Rh  0.5000  0.0000  0.0000  2 P 2.24
O  0.5000  0.5000  0.5000  8 Rh 2.80

Output
Total magnetic moment = 0.030 μB/atom
Formation energy from raw total energies = 1.193 eV per atom
Space group = P4/mmm